BaSb2Te (PBE, relaxed); spin magnetization = 0.0 Bohr magnetons per cell; formation energy from raw total energies = -12.6 kJ/mol of atoms
1.0
3.922 0.132 0.000
0.577 3.881 0.000
0.000 0.000 8.759
Sb Ba Te
2 1 1
Direct
0.000 0.000 0.470
0.000 0.000 0.030
0.500 0.500 0.750
0.500 0.500 0.250


NdHoEr2In4 (PBE, relaxed); spin magnetization = 0.0 Bohr magnetons per cell; formation energy from the elements = -43.8 kJ/mol of atoms
1.0
-4.962 0.632 -1.842
-3.385 -4.117 -0.006
-5.476 1.042 7.396
Er In Nd Ho
2 4 1 1
Direct
0.250 0.250 0.251
0.750 0.750 0.749
0.126 0.126 0.621
0.874 0.874 0.379
0.377 0.377 0.870
0.623 0.623 0.130
0.000 0.000 0.000
0.500 0.500 0.500


La2PrZnN (PBE, relaxed); spin magnetization = 0.0 Bohr magnetons per cell; formation energy from raw total energies = -61.1 kJ/mol of atoms
1.0
-0.258 -2.486 -4.403
5.001 -0.777 0.146
-0.749 -4.353 2.502
N La Pr Zn
1 2 1 1
Direct
0.000 0.000 0.000
0.000 0.500 0.000
0.500 0.000 0.000
0.000 0.000 0.500
0.500 0.500 0.500